Computed, not measured: a relaxed Pa6As2PSe3 crystal at the PBE level of DFT.

Properties
DFT total energy: -8.0381 eV per atom
Crystal system: monoclinic
Uncorrected formation energy: -14.32 eV/f.u.
Total magnetic moment: 0.02 μB per formula unit

Cell: 17.485 3.987 8.278 Å, 90.00 100.34 90.00°
Space group C2/m (No. 12)
One atom of each set of equivalent atoms:
Pa 0.001 0.000 0.264 [4 per cell]
Pa 0.161 0.500 0.582 [4 per cell]
Pa 0.167 0.500 0.083 [4 per cell]
As 0.165 0.000 0.833 [4 per cell]
P 0.000 0.500 0.500 [2 per cell]
Se 0.000 0.500 0.000 [2 per cell]
Se 0.170 0.000 0.335 [4 per cell]